(1)
Crystalline Y12TlIn3 at its relaxed geometry, computed with PBE.

The structure in CIF format:
```
data_Y12TlIn3
_symmetry_space_group_name_H-M 'P 4/m m m'
_symmetry_Int_Tables_number 123
_symmetry_space_group_name_Hall '-P 4 2'
_cell_length_a 4.866
_cell_length_b 4.866
_cell_length_c 19.470
_cell_angle_alpha 90.00
_cell_angle_beta 90.00
_cell_angle_gamma 90.00
loop_
_atom_site_label
_atom_site_fract_x
_atom_site_fract_y
_atom_site_fract_z
Y1 0.000 0.000 0.000
Y2 0.000 0.000 0.250
Y3 0.000 0.000 0.500
Y4 0.000 0.500 0.125
Y5 0.000 0.500 0.374
Tl1 0.500 0.500 0.500
In1 0.500 0.500 0.000
In2 0.500 0.500 0.250
```

Results
For the total magnetization, the calculation gives 4.52 μB per formula unit. The value obtained for the formation energy from the elements is -0.258 eV per atom.


(2)
Crystalline YTlIn at its relaxed geometry, computed with PBE.

The structure in CIF format:
```
data_YTlIn
_symmetry_space_group_name_H-M 'F -4 3 m'
_symmetry_Int_Tables_number 216
_symmetry_space_group_name_Hall 'F -4 2 3'
_cell_length_a 7.087
_cell_length_b 7.087
_cell_length_c 7.087
_cell_angle_alpha 90.00
_cell_angle_beta 90.00
_cell_angle_gamma 90.00
loop_
_atom_site_label
_atom_site_fract_x
_atom_site_fract_y
_atom_site_fract_z
Y1 0.000 0.000 0.000
Tl1 0.250 0.250 0.750
In1 0.000 0.000 0.500
```

Results
For the total magnetization, the calculation gives 0.00 μB per formula unit. The value obtained for the formation energy from the elements is -0.113 eV per atom. For the energy above the most stable polymorph in this dataset, the calculation gives 0.568 eV per formula unit.


(3)
Crystalline Y2TlIn at its relaxed geometry, computed with PBE.

The structure in CIF format:
```
data_Y2TlIn
_symmetry_space_group_name_H-M 'C m m 2'
_symmetry_Int_Tables_number 35
_cell_length_a 3.957
_cell_length_b 5.763
_cell_length_c 10.265
_cell_angle_alpha 90.00
_cell_angle_beta 90.00
_cell_angle_gamma 90.00
loop_
_symmetry_equiv_pos_as_xyz
'x,y,z'
'-x,-y,z'
'-x,y,z'
'x,-y,z'
'x+1/2,y+1/2,z'
'-x+1/2,-y+1/2,z'
'-x+1/2,y+1/2,z'
'x+1/2,-y+1/2,z'
loop_
_atom_site_label
_atom_site_fract_x
_atom_site_fract_y
_atom_site_fract_z
Y1 0.000 0.000 0.000
Y2 0.000 0.500 0.269
Tl1 0.000 0.500 0.748
In1 0.000 0.000 0.517
```

Results
For the total magnetization, the calculation gives 0.00 μB per formula unit. The value obtained for the formation energy from the elements is -0.095 eV per atom.


(4)
Crystalline Y2TlIn at its relaxed geometry, computed with PBE.

The structure in CIF format:
```
data_Y2TlIn
_symmetry_space_group_name_H-M 'C 1 m 1'
_symmetry_Int_Tables_number 8
_cell_length_a 6.372
_cell_length_b 3.685
_cell_length_c 10.129
_cell_angle_alpha 90.00
_cell_angle_beta 101.99
_cell_angle_gamma 90.00
loop_
_symmetry_equiv_pos_as_xyz
'x,y,z'
'x,-y,z'
'x+1/2,y+1/2,z'
'x+1/2,-y+1/2,z'
loop_
_atom_site_label
_atom_site_fract_x
_atom_site_fract_y
_atom_site_fract_z
Y1 0.000 0.000 0.000
Y2 0.171 0.000 0.512
Tl1 0.419 0.000 0.256
In1 0.086 0.500 0.756
```

Results
For the total magnetization, the calculation gives 0.00 μB per formula unit. The value obtained for the formation energy from the elements is -0.289 eV per atom.


(5)
Crystalline Y3TlIn at its relaxed geometry, computed with PBE.

The structure in CIF format:
```
data_Y3TlIn
_symmetry_space_group_name_H-M 'P m -3 m'
_symmetry_Int_Tables_number 221
_symmetry_space_group_name_Hall '-P 4 2 3'
_cell_length_a 5.680
_cell_length_b 5.680
_cell_length_c 5.680
_cell_angle_alpha 90.00
_cell_angle_beta 90.00
_cell_angle_gamma 90.00
loop_
_atom_site_label
_atom_site_fract_x
_atom_site_fract_y
_atom_site_fract_z
Y1 0.000 0.000 0.500
Tl1 0.000 0.000 0.000
In1 0.500 0.500 0.500
```

Results
For the total magnetization, the calculation gives 0.00 μB per formula unit. The value obtained for the formation energy from the elements is 0.230 eV per atom. For the energy above the most stable polymorph in this dataset, the calculation gives 2.919 eV per formula unit.


(6)
Crystalline Y2TlIn at its relaxed geometry, computed with PBE.

The structure in CIF format:
```
data_Y2TlIn
_symmetry_space_group_name_H-M 'P 4/m m m'
_symmetry_Int_Tables_number 123
_symmetry_space_group_name_Hall '-P 4 2'
_cell_length_a 3.761
_cell_length_b 3.761
_cell_length_c 7.652
_cell_angle_alpha 90.00
_cell_angle_beta 90.00
_cell_angle_gamma 90.00
loop_
_atom_site_label
_atom_site_fract_x
_atom_site_fract_y
_atom_site_fract_z
Y1 0.000 0.000 0.248
Tl1 0.500 0.500 0.500
In1 0.500 0.500 0.000
```

Results
For the total magnetization, the calculation gives 0.00 μB per formula unit. The value obtained for the formation energy from the elements is -0.435 eV per atom.


(7)
Crystalline Y7Tl2In2 at its relaxed geometry, computed with PBE.

The structure in CIF format:
```
data_Y7Tl2In2
_symmetry_space_group_name_H-M 'C m m m'
_symmetry_Int_Tables_number 65
_symmetry_space_group_name_Hall '-C 2 2'
_cell_length_a 8.039
_cell_length_b 11.290
_cell_length_c 7.718
_cell_angle_alpha 90.00
_cell_angle_beta 90.00
_cell_angle_gamma 90.00
loop_
_atom_site_label
_atom_site_fract_x
_atom_site_fract_y
_atom_site_fract_z
Y1 0.000 0.000 0.000
Y2 0.000 0.500 0.267
Y3 0.250 0.250 0.287
Tl1 0.000 0.292 0.000
In1 0.177 0.000 0.500
```

Results
For the total magnetization, the calculation gives 0.00 μB per formula unit. The value obtained for the formation energy from the elements is -0.085 eV per atom.


(8)
Crystalline Y4TlIn at its relaxed geometry, computed with PBE.

The structure in CIF format:
```
data_Y4TlIn
_symmetry_space_group_name_H-M 'P m m m'
_symmetry_Int_Tables_number 47
_cell_length_a 3.748
_cell_length_b 5.727
_cell_length_c 8.719
_cell_angle_alpha 90.00
_cell_angle_beta 90.00
_cell_angle_gamma 90.00
loop_
_symmetry_equiv_pos_as_xyz
'x,y,z'
'-x,-y,-z'
'-x,-y,z'
'x,y,-z'
'x,-y,-z'
'-x,y,z'
'-x,y,-z'
'x,-y,z'
loop_
_atom_site_label
_atom_site_fract_x
_atom_site_fract_y
_atom_site_fract_z
Y1 0.000 0.000 0.203
Y2 0.500 0.500 0.295
Tl1 0.500 0.000 0.500
In1 0.000 0.500 0.000
```

Results
For the total magnetization, the calculation gives 0.00 μB per formula unit. The value obtained for the formation energy from the elements is -0.082 eV per atom. For the energy above the most stable polymorph in this dataset, the calculation gives 0.220 eV per formula unit.


(9)
Crystalline YTl4In at its relaxed geometry, computed with PBE.

The structure in CIF format:
```
data_YTl4In
_symmetry_space_group_name_H-M 'F -4 3 m'
_symmetry_Int_Tables_number 216
_symmetry_space_group_name_Hall 'F -4 2 3'
_cell_length_a 8.934
_cell_length_b 8.934
_cell_length_c 8.934
_cell_angle_alpha 90.00
_cell_angle_beta 90.00
_cell_angle_gamma 90.00
loop_
_atom_site_label
_atom_site_fract_x
_atom_site_fract_y
_atom_site_fract_z
Y1 0.000 0.000 0.000
Tl1 0.125 0.125 0.375
In1 0.250 0.250 0.750
```

Results
For the total magnetization, the calculation gives 0.00 μB per formula unit. The value obtained for the formation energy from the elements is 0.086 eV per atom.


(10)
Crystalline Y6TlIn3 at its relaxed geometry, computed with PBE.

The structure in CIF format:
```
data_Y6TlIn3
_symmetry_space_group_name_H-M 'P 1 21/m 1'
_symmetry_Int_Tables_number 11
_cell_length_a 9.641
_cell_length_b 5.258
_cell_length_c 11.482
_cell_angle_alpha 90.00
_cell_angle_beta 105.35
_cell_angle_gamma 90.00
loop_
_symmetry_equiv_pos_as_xyz
'x,y,z'
'-x,-y,-z'
'-x,y+1/2,-z'
'x,-y+1/2,z'
loop_
_atom_site_label
_atom_site_fract_x
_atom_site_fract_y
_atom_site_fract_z
Y1 0.048 0.250 0.411
Y2 0.152 0.750 0.182
Y3 0.255 0.250 0.995
Y4 0.331 0.750 0.803
Y5 0.370 0.250 0.325
Y6 0.399 0.250 0.618
Tl1 0.444 0.750 0.110
In1 0.030 0.750 0.888
In2 0.121 0.250 0.709
In3 0.282 0.750 0.474
```

Results
For the total magnetization, the calculation gives 0.73 μB per formula unit. The value obtained for the formation energy from the elements is -0.375 eV per atom.


(11)
Crystalline Y2TlIn at its relaxed geometry, computed with PBE.

The structure in CIF format:
```
data_Y2TlIn
_symmetry_space_group_name_H-M 'I m m m'
_symmetry_Int_Tables_number 71
_symmetry_space_group_name_Hall '-I 2 2'
_cell_length_a 3.440
_cell_length_b 6.001
_cell_length_c 12.750
_cell_angle_alpha 90.00
_cell_angle_beta 90.00
_cell_angle_gamma 90.00
loop_
_atom_site_label
_atom_site_fract_x
_atom_site_fract_y
_atom_site_fract_z
Y1 0.000 0.000 0.250
Tl1 0.000 0.000 0.000
In1 0.000 0.000 0.500
```

Results
For the total magnetization, the calculation gives 0.00 μB per formula unit. The value obtained for the formation energy from the elements is 0.217 eV per atom.


(12)
Crystalline Y2TlIn at its relaxed geometry, computed with PBE.

The structure in CIF format:
```
data_Y2TlIn
_symmetry_space_group_name_H-M 'C m m m'
_symmetry_Int_Tables_number 65
_symmetry_space_group_name_Hall '-C 2 2'
_cell_length_a 7.141
_cell_length_b 8.379
_cell_length_c 3.610
_cell_angle_alpha 90.00
_cell_angle_beta 90.00
_cell_angle_gamma 90.00
loop_
_atom_site_label
_atom_site_fract_x
_atom_site_fract_y
_atom_site_fract_z
Y1 0.250 0.250 0.000
Tl1 0.000 0.000 0.500
In1 0.000 0.500 0.500
```

Results
For the total magnetization, the calculation gives 0.00 μB per formula unit. The value obtained for the formation energy from the elements is -0.434 eV per atom.


> Which of these has the highest formation energy from the elements?

Y3TlIn


> What is the formation energy from the elements in the seventh record?

-0.085 eV per atom


> Number 4 is which compound?

Y2TlIn


> Among the records above, which one has the lowest formation energy from the elements?

number 6